## AlAs2HBr (GGA-PBE)

Data for a relaxed AlAs2HBr crystal.

Computed properties:
- calculated volume (Å³/cell) = 126.2
- M_tot (μB/atom) = 0.19
- DFT total energy (eV per atom) = -2.847
- ρ (g cm⁻³) = 3.392

CIF file:
```
data_AlAs2HBr
_chemical_formula_sum 'Al1 As2 H1 Br1'
_space_group_name_H-M_alt 'P 4/m m m'
_space_group_IT_number 123
_space_group_name_Hall '-P 4 2'
_cell_length_a 4.8628
_cell_length_b 4.8628
_cell_length_c 5.3355
_cell_angle_alpha 90.00
_cell_angle_beta 90.00
_cell_angle_gamma 90.00
loop_
_atom_site_label
_atom_site_type_symbol
_atom_site_fract_x
_atom_site_fract_y
_atom_site_fract_z
_atom_site_occupancy
Al1 Al 0.0000 0.0000 0.0000 1
As1 As 0.0000 0.5000 0.0000 1
H1 H 0.5000 0.5000 0.5000 1
Br1 Br 0.0000 0.0000 0.5000 1
```